# 1
A geometry-optimized ErAlCl6 structure, computed with PBE.

Summary:
Energy ... -4.30 eV per atom
Crystal system ... monoclinic

```
ErAlCl6
1.0
-5.5326 -1.4125 2.9271
3.9175 -4.7023 -1.9273
3.3262 2.1778 4.9992
Cl Er Al
6 1 1
Direct
0.5439 0.9173 0.2299
0.0827 0.4561 0.7701
0.2364 0.2035 0.2309
0.7965 0.7636 0.7691
0.3915 0.0512 0.7729
0.9488 0.6085 0.2271
0.8340 0.1660 0.0000
0.1663 0.8337 0.0000
```

---

# 2
A geometry-optimized SmBO3 structure, computed with PBE.

Summary:
Energy ... -8.31 eV per atom
Crystal system ... triclinic

```
SmBO3
1.0
-3.2410 -5.5677 0.6949
5.4640 -2.9883 -1.7896
0.8646 2.4269 5.6566
Sm O B
4 12 4
Direct
0.1642 0.8749 0.5562
0.4631 0.3292 0.4301
0.0285 0.4148 0.9284
0.5969 0.7900 0.0578
0.1953 0.7289 0.8676
0.5373 0.1264 0.0269
0.1774 0.2492 0.5834
0.9786 0.8049 0.1180
0.5312 0.7288 0.6443
0.8342 0.3660 0.5147
0.0960 0.4749 0.3422
0.4282 0.4765 0.1178
0.7922 0.8318 0.4683
0.6465 0.3998 0.8687
0.0792 0.0763 0.9542
0.4519 0.9557 0.4038
0.0254 0.3605 0.4674
0.6026 0.8421 0.5185
0.0834 0.8792 0.9861
0.5380 0.3251 0.9977
```

---

# 3
A geometry-optimized Pr2DyMg3Ir2Pd structure, computed with PBE.

Summary:
Energy ... -5.27 eV per atom
Crystal system ... orthorhombic

```
Pr2DyMg3Ir2Pd
1.0
4.0855 0.0000 0.0000
0.0000 6.4555 3.7534
0.0000 -6.4555 3.7534
Pd Mg Pr Ir Dy
1 3 2 2 1
Direct
0.0000 0.9935 0.9935
0.5000 0.2481 0.2481
0.5000 0.9963 0.7538
0.5000 0.7538 0.9963
0.0000 0.9991 0.4182
0.0000 0.4182 0.9991
0.5000 0.6632 0.3422
0.5000 0.3422 0.6632
0.0000 0.5856 0.5856
```

---

# 4
A geometry-optimized Er structure, computed with PBE.

Summary:
Offset from the most stable computed form ... 4.63 kcal/mol of atoms
Calculated formation energy ... 0.201 eV/atom
Crystal system ... cubic

```
Er
1.0
6.6922 -5.9770 5.5558
-9.5345 -0.2657 4.5165
-0.6729 -3.7058 -9.8586
Er
29
Direct
0.3114 0.7363 0.3114
0.3461 0.3461 0.3461
0.0000 0.3756 0.1887
0.0000 0.6886 0.4249
0.0000 0.0000 0.6539
0.6886 0.4249 0.0000
0.1887 0.0000 0.3756
0.5751 0.2637 0.5751
0.0000 0.4249 0.6886
0.0000 0.6539 0.0000
0.3756 0.1887 0.0000
0.3114 0.3114 0.7363
0.6244 0.6244 0.8131
0.6244 0.8131 0.6244
0.6886 0.0000 0.4249
0.7363 0.3114 0.3114
0.1869 0.8113 0.8113
0.3756 0.0000 0.1887
0.8113 0.8113 0.1869
0.2637 0.5751 0.5751
0.1887 0.3756 0.0000
0.6539 0.0000 0.0000
0.4249 0.0000 0.6886
0.0000 0.1887 0.3756
0.8113 0.1869 0.8113
0.0000 0.0000 0.0000
0.8131 0.6244 0.6244
0.5751 0.5751 0.2637
0.4249 0.6886 0.0000
```

---

# 5
A geometry-optimized PuBeGe structure, computed with PBE.

Summary:
Energy ... -7.68 eV per atom
Crystal system ... cubic

```
PuBeGe
1.0
0.0000 3.0205 3.0205
3.0205 0.0000 3.0205
3.0205 3.0205 0.0000
Ge Be Pu
1 1 1
Direct
0.2500 0.2500 0.2500
0.0000 0.0000 0.0000
0.7500 0.7500 0.7500
```

---

# 6
A geometry-optimized NpSb structure, computed with PBE.

Summary:
Offset from the most stable computed form ... 1.31 kcal/mol of atoms
Crystal system ... tetragonal

```
NpSb
1.0
2.3579 -2.5540 -0.7950
-0.8733 -1.7368 2.9893
-2.8758 -2.0268 -2.0178
Np Sb
1 1
Direct
0.0000 0.0000 0.0000
0.5000 0.5000 0.5000
```

---

# 7
A geometry-optimized HoTmHf2Sb2 structure, computed with PBE.

Summary:
Energy ... -6.89 eV per atom
Crystal system ... tetragonal

```
HoTmHf2Sb2
1.0
7.9989 -3.0654 1.6714
7.0288 1.9815 4.7793
-8.6098 -1.0737 -0.9436
Hf Ho Tm Sb
2 1 1 2
Direct
0.0003 0.5003 0.5000
0.5003 0.0003 0.5000
0.3240 0.3240 0.0000
0.6752 0.6752 0.0000
0.8669 0.8669 0.0000
0.1333 0.1333 0.0000
```

---

# 8
A geometry-optimized Li8Nd7Ge10 structure, computed with PBE.

Summary:
Energy ... -4.49 eV per atom
Crystal system ... orthorhombic

```
Li8Nd7Ge10
1.0
5.7163 3.1256 -15.7955
-11.6094 -2.5980 12.2645
-0.1038 4.3519 0.8236
Nd Ge Li
7 10 8
Direct
0.4426 0.5574 0.0000
0.7209 0.2791 0.5000
0.1608 0.8392 0.5000
0.8392 0.1608 0.5000
0.0000 0.0000 0.0000
0.2791 0.7209 0.5000
0.5574 0.4426 0.0000
0.6015 0.0319 0.0000
0.3733 0.6267 0.5000
0.9062 0.0938 0.0000
0.6853 0.6853 0.5000
0.0938 0.9062 0.0000
0.0319 0.6015 0.0000
0.9681 0.3985 0.0000
0.3147 0.3147 0.5000
0.6267 0.3733 0.5000
0.3985 0.9681 0.0000
0.2648 0.1155 0.5000
0.5438 0.8307 0.0000
0.8845 0.7352 0.5000
0.1693 0.4562 0.0000
0.7352 0.8845 0.5000
0.1155 0.2648 0.5000
0.4562 0.1693 0.0000
0.8307 0.5438 0.0000
```